# 1
DFT (PBE-GGA) results for a relaxed ScAlCd2 crystal.

Results
calculated volume = 20.70 Å³ per atom
formation energy = -0.148 eV/atom
total moment = 0.4 μB/cell
space-group type = No. 99
DOS(E_F) = 0.47 states/eV/atom

a b c (Å): 3.152 3.152 8.336
angles (deg): 90.00 90.00 90.00
Fractional positions:
Sc1 0.000 0.000 0.000
Al1 0.500 0.500 0.227
Cd1 0.000 0.000 0.467
Cd2 0.500 0.500 0.732

=====

# 2
DFT (PBE-GGA) results for a relaxed Sc2AlCd2 crystal.

Results
calculated volume = 20.91 Å³ per atom
formation energy = -0.270 eV/atom
total moment = 0.7 μB/cell
space-group type = No. 65
polymorph energy (0 for the lowest one) = 0.00 kcal/mol of atoms
DOS(E_F) = 0.82 states/eV/atom

a b c (Å): 4.595 14.705 3.095
angles (deg): 90.00 90.00 90.00
Fractional positions:
Sc1 0.000 0.103 0.000
Sc2 0.000 0.897 0.000
Sc3 0.500 0.397 0.000
Sc4 0.500 0.603 0.000
Al1 0.000 0.500 0.500
Al2 0.500 0.000 0.500
Cd1 0.000 0.304 0.500
Cd2 0.000 0.696 0.500
Cd3 0.500 0.196 0.500
Cd4 0.500 0.804 0.500

=====

# 3
DFT (PBE-GGA) results for a relaxed Sc5Al3Cd crystal.

Results
calculated volume = 21.08 Å³ per atom
formation energy = -0.342 eV/atom
total moment = 0.0 μB/cell
space-group type = No. 193
DOS(E_F) = 0.81 states/eV/atom

a b c (Å): 8.520 8.520 6.035
angles (deg): 90.00 90.00 120.00
Fractional positions:
Sc1 0.000 0.311 0.250
Sc2 0.000 0.689 0.750
Sc3 0.311 0.000 0.250
Sc4 0.311 0.311 0.750
Sc5 0.333 0.667 0.000
Sc6 0.333 0.667 0.500
Sc7 0.667 0.333 0.000
Sc8 0.667 0.333 0.500
Sc9 0.689 0.000 0.750
Sc10 0.689 0.689 0.250
Al1 0.000 0.358 0.750
Al2 0.000 0.642 0.250
Al3 0.358 0.000 0.750
Al4 0.358 0.358 0.250
Al5 0.642 0.000 0.250
Al6 0.642 0.642 0.750
Cd1 0.000 0.000 0.000
Cd2 0.000 0.000 0.500

=====

# 4
DFT (PBE-GGA) results for a relaxed Sc2AlCd crystal.

Results
calculated volume = 21.14 Å³ per atom
formation energy = -0.003 eV/atom
total moment = 0.0 μB/cell
space-group type = No. 216
polymorph energy (0 for the lowest one) = 8.50 kcal/mol of atoms
DOS(E_F) = 1.31 states/eV/atom

a b c (Å): 6.968 6.968 6.968
angles (deg): 90.00 90.00 90.00
Fractional positions:
Sc1 0.000 0.000 0.000
Sc2 0.000 0.500 0.500
Sc3 0.250 0.250 0.250
Sc4 0.250 0.750 0.750
Sc5 0.500 0.000 0.500
Sc6 0.500 0.500 0.000
Sc7 0.750 0.250 0.750
Sc8 0.750 0.750 0.250
Al1 0.250 0.250 0.750
Al2 0.250 0.750 0.250
Al3 0.750 0.250 0.250
Al4 0.750 0.750 0.750
Cd1 0.000 0.000 0.500
Cd2 0.000 0.500 0.000
Cd3 0.500 0.000 0.000
Cd4 0.500 0.500 0.500

=====

# 5
DFT (PBE-GGA) results for a relaxed Sc2AlCd crystal.

Results
calculated volume = 21.73 Å³ per atom
formation energy = -0.110 eV/atom
total moment = 0.4 μB/cell
space-group type = No. 99
polymorph energy (0 for the lowest one) = 6.03 kcal/mol of atoms
DOS(E_F) = 1.10 states/eV/atom

a b c (Å): 3.672 3.672 6.446
angles (deg): 90.00 90.00 90.00
Fractional positions:
Sc1 0.000 0.000 0.000
Sc2 0.500 0.500 0.267
Al1 0.000 0.000 0.494
Cd1 0.500 0.500 0.749

=====

# 6
DFT (PBE-GGA) results for a relaxed ScAlCd3 crystal.

Results
calculated volume = 34.68 Å³ per atom
formation energy = 0.824 eV/atom
total moment = 0.0 μB/cell
space-group type = No. 221
polymorph energy (0 for the lowest one) = 9.50 kcal/mol of atoms
DOS(E_F) = 1.52 states/eV/atom

a b c (Å): 5.577 5.577 5.577
angles (deg): 90.00 90.00 90.00
Fractional positions:
Sc1 0.000 0.000 0.000
Al1 0.500 0.500 0.500
Cd1 0.000 0.000 0.500
Cd2 0.000 0.500 0.000
Cd3 0.500 0.000 0.000

=====

# 7
DFT (PBE-GGA) results for a relaxed Sc4Al2Cd crystal.

Results
calculated volume = 22.32 Å³ per atom
formation energy = -0.222 eV/atom
total moment = 0.0 μB/cell
space-group type = No. 166
DOS(E_F) = 0.93 states/eV/atom

a b c (Å): 8.210 8.210 8.210
angles (deg): 34.24 34.24 34.24
Fractional positions:
Sc1 0.114 0.114 0.114
Sc2 0.368 0.368 0.368
Sc3 0.632 0.632 0.632
Sc4 0.886 0.886 0.886
Al1 0.246 0.246 0.246
Al2 0.754 0.754 0.754
Cd1 0.500 0.500 0.500

=====

# 8
DFT (PBE-GGA) results for a relaxed ScAlCd2 crystal.

Results
calculated volume = 20.92 Å³ per atom
formation energy = -0.072 eV/atom
total moment = 0.5 μB/cell
space-group type = No. 123
DOS(E_F) = 0.38 states/eV/atom

a b c (Å): 3.118 3.118 8.605
angles (deg): 90.00 90.00 90.00
Fractional positions:
Sc1 0.000 0.000 0.000
Al1 0.000 0.000 0.500
Cd1 0.500 0.500 0.258
Cd2 0.500 0.500 0.742

=====

> formation energy of number 7 (Sc4Al2Cd)?

-0.222 eV/atom